Entry from Alexandria: crystalline BaCaZn at its relaxed geometry (PBE-GGA).

Cell: 4.4633 4.4691 11.9165 Å, 90.00 100.77 90.00°
Space group P2_1/m (No. 11)
Inequivalent atoms, fractional coordinates:
Ba 0.1797 0.2500 0.3600 [2 per cell]
Ca 0.4355 0.2500 0.8705 [2 per cell]
Zn 0.0309 0.2500 0.0622 [2 per cell]

Properties
ΔH_f (0 K): -0.149 eV per atom
energy above the lowest structure with this stoichiometry: 0.00 kcal/mol of atoms


Entry from Alexandria: crystalline BaCa2Zn2 at its relaxed geometry (PBE-GGA).

Cell: 5.6327 5.6327 11.3420 Å, 90.00 90.00 90.00°
Space group I4/mmm (No. 139)
Inequivalent atoms, fractional coordinates:
Ba 0.0000 0.0000 0.0000 [2 per cell]
Ca 0.0000 0.0000 0.3423 [4 per cell]
Zn 0.0000 0.5000 0.2500 [4 per cell]

Properties
ΔH_f (0 K): -0.008 eV per atom
energy above the lowest structure with this stoichiometry: 4.00 kcal/mol of atoms


Entry from Alexandria: crystalline Ba2CaZn2 at its relaxed geometry (PBE-GGA).

Cell: 6.5120 6.5120 9.1154 Å, 90.00 90.00 90.00°
Space group I4/mmm (No. 139)
Inequivalent atoms, fractional coordinates:
Ba 0.0000 0.5000 0.2500 [4 per cell]
Ca 0.0000 0.0000 0.0000 [2 per cell]
Zn 0.0000 0.0000 0.3657 [4 per cell]

Properties
ΔH_f (0 K): -0.041 eV per atom
energy above the lowest structure with this stoichiometry: 1.56 kcal/mol of atoms


Entry from Alexandria: crystalline BaCa4Zn4 at its relaxed geometry (PBE-GGA).

Cell: 10.0108 10.0108 6.0637 Å, 90.00 90.00 90.00°
Space group P4_2/n (No. 86, origin choice 2)
Inequivalent atoms, fractional coordinates:
Ba 0.2500 0.2500 0.2500 [2 per cell]
Ca 0.0971 0.6456 0.1329 [8 per cell]
Zn 0.0448 0.5903 0.6276 [8 per cell]

Properties
ΔH_f (0 K): -0.110 eV per atom


Entry from Alexandria: crystalline BaCa2Zn2 at its relaxed geometry (PBE-GGA).

Cell: 5.6879 4.5153 13.2447 Å, 90.00 97.35 90.00°
Space group P2_1/m (No. 11)
Inequivalent atoms, fractional coordinates:
Ba 0.1781 0.2500 0.2470 [2 per cell]
Ca 0.2493 0.7500 0.4984 [2 per cell]
Ca 0.3609 0.2500 0.8952 [2 per cell]
Zn 0.1051 0.7500 0.0111 [2 per cell]
Zn 0.3017 0.2500 0.6558 [2 per cell]

Properties
ΔH_f (0 K): -0.119 eV per atom
energy above the lowest structure with this stoichiometry: 1.44 kcal/mol of atoms


Entry from Alexandria: crystalline BaCaZn3 at its relaxed geometry (PBE-GGA).

Cell: 4.2824 28.4442 4.5898 Å, 90.00 90.00 90.00°
Space group Cmcm (No. 63)
Inequivalent atoms, fractional coordinates:
Ba 0.0000 0.0750 0.2500 [4 per cell]
Ca 0.0000 0.2084 0.7500 [4 per cell]
Zn 0.0000 0.3238 0.7500 [4 per cell]
Zn 0.0000 0.3736 0.2500 [4 per cell]
Zn 0.0000 0.4759 0.2500 [4 per cell]

Properties
ΔH_f (0 K): -0.200 eV per atom
energy above the lowest structure with this stoichiometry: 0.00 kcal/mol of atoms


Question: Look up the ΔH_f (0 K) of the fifth one.
Answer: -0.119 eV per atom